1.
Compound: TcRu2Cl
Source: Alexandria
Functional: PBE-GGA
Structure: relaxed

formation energy without anion corrections = 481 meV per atom
offset from the most stable computed form = 157 meV/atom

Cell: 2.8174 2.8174 7.3349 Å, 90.00 90.00 90.00°
Positions (direct):
Cl: 0.5000 0.5000 0.7408
Ru: 0.0000 0.0000 0.0056
Ru: 0.5000 0.5000 0.2567
Tc: 0.0000 0.0000 0.4969

2.
Compound: MnGaCoSe2
Source: Alexandria
Functional: PBE-GGA
Structure: relaxed

formation energy without anion corrections = -178 meV per atom
offset from the most stable computed form = 23 meV/atom

Cell: 3.8437 5.1510 5.2704 Å, 60.70 85.93 87.11°
Last column: magnetic moment on the atom in μB.
Positions (direct):
Mn: 0.1575 0.3387 0.7952  3.47
Ga: 0.5200 0.5239 0.0991  0.00
Co: 0.6678 0.6875 0.6103  0.36
Se: 0.6862 0.1639 0.6112  -0.03
Se: 0.1869 0.8527 0.2897  -0.01

3.
Compound: Be2PtAuO
Source: Alexandria
Functional: PBE-GGA
Structure: relaxed

formation energy without anion corrections = 838 meV per atom

Cell: 4.4767 3.8487 4.4767 Å, 90.00 90.00 90.00°
Positions (direct):
Be: 0.0000 0.0000 0.5000
Be: 0.5000 0.0000 0.0000
Au: 0.0000 0.0000 0.0000
O: 0.0000 0.5000 0.0000
Pt: 0.5000 0.5000 0.5000

4.
Compound: Ta2HgW
Source: Alexandria
Functional: PBE-GGA
Structure: relaxed

calculated formation energy = 0.35 eV per atom

Cell: 5.9397 5.3238 2.8448 Å, 83.56 73.88 118.92°
Positions (direct):
Hg: 0.5000 0.5000 0.0000
Ta: 0.0000 0.0000 0.0000
Ta: 0.5000 0.0000 0.5000
W: 0.0000 0.5000 0.5000

5.
Compound: KZn2PdPb
Source: Alexandria
Functional: PBE-GGA
Structure: relaxed

calculated formation energy = -0.07 eV per atom

Cell: 5.0347 5.0347 5.3339 Å, 90.00 90.00 90.00°
Positions (direct):
Pb: 0.0000 0.0000 0.5000
Zn: 0.0000 0.5000 0.0000
Zn: 0.5000 0.0000 0.0000
K: 0.5000 0.5000 0.5000
Pd: 0.0000 0.0000 0.0000

6.
Compound: Cd4SnGe
Source: Alexandria
Functional: PBE-GGA
Structure: relaxed

calculated formation energy = 0.21 eV per atom

Cell: 5.8852 5.8852 5.8852 Å, 60.00 60.00 60.00°
Positions (direct):
Ge: 0.0000 0.0000 0.0000
Sn: 0.2500 0.2500 0.2500
Cd: 0.6252 0.6252 0.1243
Cd: 0.6252 0.1243 0.6252
Cd: 0.6252 0.6252 0.6252
Cd: 0.1243 0.6252 0.6252

7.
Compound: Mn2ReH
Source: Alexandria
Functional: PBE-GGA
Structure: relaxed

offset from the most stable computed form = 1 meV/atom

Cell: 2.6734 2.6734 6.4911 Å, 78.12 78.12 60.00°
Last column: magnetic moment on the atom in μB.
Positions (direct):
Mn: 0.0548 0.0548 0.8356  -0.10
Mn: 0.2782 0.2782 0.1653  0.76
Re: 0.4984 0.4984 0.5047  -0.03
H: 0.6685 0.6685 0.9945  0.00

8.
Compound: Ba2TlCdPt
Source: Alexandria
Functional: PBE-GGA
Structure: relaxed

calculated formation energy = -0.41 eV per atom
offset from the most stable computed form = 0 meV/atom

Cell: 6.1106 6.1106 5.2806 Å, 90.00 90.00 90.00°
Positions (direct):
Tl: 0.5000 0.5000 0.5000
Ba: 0.0000 0.5000 0.0000
Ba: 0.5000 0.0000 0.0000
Pt: 0.0000 0.0000 0.0000
Cd: 0.0000 0.0000 0.5000

9.
Compound: CaHf2Os2
Source: Alexandria
Functional: PBE-GGA
Structure: relaxed

calculated formation energy = -0.22 eV per atom
offset from the most stable computed form = 22 meV/atom

Cell: 7.9116 7.9116 3.1908 Å, 90.00 90.00 90.00°
Positions (direct):
Hf: 0.1437 0.6437 0.5000
Hf: 0.6437 0.8563 0.5000
Hf: 0.8563 0.3563 0.5000
Hf: 0.3563 0.1437 0.5000
Ca: 0.0000 0.0000 0.0000
Ca: 0.5000 0.5000 0.0000
Os: 0.3545 0.8545 0.0000
Os: 0.8545 0.6455 0.0000
Os: 0.6455 0.1455 0.0000
Os: 0.1455 0.3545 0.0000

10.
Compound: MgVNi
Source: Alexandria
Functional: PBE-GGA
Structure: relaxed

calculated formation energy = 0.07 eV per atom
offset from the most stable computed form = 0 meV/atom

Cell: 2.7800 2.7800 5.9804 Å, 103.44 103.44 90.00°
Last column: magnetic moment on the atom in μB.
Positions (direct):
Ni: 0.6778 0.6778 0.3557  0.18
Mg: 0.0119 0.0119 0.0238  0.00
V: 0.3102 0.3102 0.6205  0.82

11.
Compound: MnHIrPd2
Source: Alexandria
Functional: PBE-GGA
Structure: relaxed

offset from the most stable computed form = 0 meV/atom

Cell: 3.9695 3.9695 3.9382 Å, 90.00 90.00 90.00°
Last column: magnetic moment on the atom in μB.
Positions (direct):
Mn: 0.5000 0.5000 0.5000  3.79
Ir: 0.0000 0.0000 0.5000  -0.06
Pd: 0.0000 0.5000 0.0000  0.07
Pd: 0.5000 0.0000 0.0000  0.07
H: 0.0000 0.0000 0.0000  0.00

12.
Compound: Au4Cl
Source: Alexandria
Functional: PBE-GGA
Structure: relaxed

formation energy without anion corrections = 943 meV per atom
offset from the most stable computed form = 705 meV/atom

Cell: 4.9329 4.9329 4.9329 Å, 90.00 90.00 90.00°
Positions (direct):
Au: 0.0000 0.0000 0.0000
Au: 0.5000 0.0000 0.5000
Au: 0.0000 0.5000 0.5000
Au: 0.5000 0.5000 0.0000
Cl: 0.5000 0.5000 0.5000

13.
Compound: Y4ZrSe
Source: Alexandria
Functional: PBE-GGA
Structure: relaxed

formation energy without anion corrections = 394 meV per atom

Cell: 6.3282 6.3282 6.3282 Å, 60.00 60.00 60.00°
Last column: magnetic moment on the atom in μB.
Positions (direct):
Y: 0.8691 0.3770 0.3770  0.07
Y: 0.3770 0.3770 0.8691  0.07
Y: 0.3770 0.8691 0.3770  0.07
Y: 0.3770 0.3770 0.3770  0.07
Zr: 0.7500 0.7500 0.7500  0.61
Se: 0.0000 0.0000 0.0000  0.01

14.
Compound: TiCuCl
Source: Alexandria
Functional: PBE-GGA
Structure: relaxed

formation energy without anion corrections = -348 meV per atom

Cell: 3.0377 3.0374 14.0932 Å, 90.00 90.00 120.00°
Positions (direct):
Cu: 0.5560 0.1120 0.0000
Cu: 0.5533 0.1067 0.5000
Cl: 0.5560 0.1120 0.2627
Cl: 0.5560 0.1120 0.7373
Ti: 0.2226 0.4453 0.8563
Ti: 0.2226 0.4453 0.1437

15.
Compound: CsKBa2H
Source: Alexandria
Functional: PBE-GGA
Structure: relaxed

offset from the most stable computed form = 0 meV/atom

Cell: 5.9979 5.9979 7.4439 Å, 90.00 90.00 90.00°
Positions (direct):
Cs: 0.0000 0.0000 0.5000
H: 0.0000 0.0000 0.0000
K: 0.5000 0.5000 0.5000
Ba: 0.0000 0.5000 0.0000
Ba: 0.5000 0.0000 0.0000

16.
Compound: Sc3MnTe
Source: Alexandria
Functional: PBE-GGA
Structure: relaxed

formation energy without anion corrections = 382 meV per atom
offset from the most stable computed form = 442 meV/atom

Cell: 5.2811 5.2811 5.2811 Å, 90.00 90.00 90.00°
Last column: magnetic moment on the atom in μB.
Positions (direct):
Sc: 0.0000 0.5000 0.0000  -0.15
Sc: 0.0000 0.0000 0.5000  -0.28
Sc: 0.5000 0.0000 0.0000  -0.13
Te: 0.0000 0.0000 0.0000  0.00
Mn: 0.5000 0.5000 0.5000  4.33

17.
Compound: Tl2PtPb
Source: Alexandria
Functional: PBE-GGA
Structure: relaxed

calculated formation energy = -0.05 eV per atom
offset from the most stable computed form = 0 meV/atom

Cell: 4.0095 4.0095 8.5179 Å, 76.63 76.63 59.81°
Positions (direct):
Pb: 0.4803 0.4803 0.5597
Tl: 0.0175 0.0175 0.9488
Tl: 0.2512 0.2512 0.2424
Pt: 0.7509 0.7509 0.7490

18.
Compound: Tb3Dy6Y2Th
Source: Alexandria
Functional: PBE-GGA
Structure: relaxed

calculated formation energy = 0.02 eV per atom

Cell: 6.1598 6.1598 11.7915 Å, 95.00 95.00 119.97°
Positions (direct):
Tb: 0.1673 0.8327 0.5000
Tb: 0.8327 0.1673 0.5000
Tb: 0.5000 0.5000 0.5000
Dy: 0.9158 0.5863 0.7501
Dy: 0.7546 0.7546 0.2498
Dy: 0.0842 0.4137 0.2499
Dy: 0.5863 0.9158 0.7501
Dy: 0.2454 0.2454 0.7502
Dy: 0.4137 0.0842 0.2499
Y: 0.3333 0.6667 0.0000
Y: 0.6667 0.3333 0.0000
Th: 0.0000 0.0000 0.0000

19.
Compound: Zr2Ti2In
Source: Alexandria
Functional: PBE-GGA
Structure: relaxed

calculated formation energy = 0.12 eV per atom
offset from the most stable computed form = 215 meV/atom

Cell: 7.6086 7.6086 3.6682 Å, 90.00 90.00 90.00°
Positions (direct):
Ti: 0.1613 0.6613 0.5000
Ti: 0.6613 0.8387 0.5000
Ti: 0.8387 0.3387 0.5000
Ti: 0.3387 0.1613 0.5000
Zr: 0.3633 0.8633 0.0000
Zr: 0.8633 0.6367 0.0000
Zr: 0.6367 0.1367 0.0000
Zr: 0.1367 0.3633 0.0000
In: 0.0000 0.0000 0.0000
In: 0.5000 0.5000 0.0000

20.
Compound: BaBeSb2Te
Source: Alexandria
Functional: PBE-GGA
Structure: relaxed

formation energy without anion corrections = 1285 meV per atom
offset from the most stable computed form = 1526 meV/atom

Cell: 6.4564 6.4564 6.4035 Å, 90.00 90.00 90.00°
Last column: magnetic moment on the atom in μB.
Positions (direct):
Sb: 0.0000 0.5000 0.0000  0.16
Sb: 0.5000 0.0000 0.0000  0.16
Te: 0.0000 0.0000 0.5000  -0.01
Ba: 0.0000 0.0000 0.0000  0.01
Be: 0.5000 0.5000 0.5000  0.01